Computed, not measured: a geometry-optimized Zn3SiI structure at the GGA-PBE level of DFT.

abc: 5.3716 5.3716 5.3716
angles: 90.00 90.00 90.00
Each line ends with the local moment (μB).
Element x y z (fractional)
I: 0.0000 0.0000 0.0000  0.01
Zn: 0.0000 0.0000 0.5000  0.00
Zn: 0.0000 0.5000 0.0000  -0.01
Zn: 0.5000 0.0000 0.0000  0.00
Si: 0.5000 0.5000 0.5000  0.17

Results
The value obtained for the mass density is 3.8 Mg/m³. Its space-group type is Pm-3m (221). The density of states at the Fermi level is 3.487 states/eV/cell. As for the crystal system: cubic. As for the relative energy among the computed polymorphs: 540 kJ/mol of formula units.